Crystalline KTe2Rh at its relaxed geometry. Source: Alexandria via LeMat-Bulk, functional GGA-PBE.

## Properties
As for the density of states at the Fermi level: 0.631 states/eV per atom. As for the total DFT energy (no corrections): -15.995 eV/cell.

Structure (POSCAR):
```
KTe2Rh
1.0
-1.766 1.900 8.329
1.766 -1.900 8.329
1.766 1.900 -8.329
K Te Rh
1 2 1
Direct
0.000 0.000 0.000 K
0.359 0.359 0.000 Te
0.675 0.175 0.500 Te
0.239 0.739 0.500 Rh
```